Material: PmDyGeAu
Method: DFT, PBE-GGA
State: optimized geometry

Lattice parameters (Å, degrees): 4.369 5.923 5.923 40.46 90.00 90.00
Atoms (fractional coordinates):
Pm (0.000, 0.000, 0.000)
Dy (0.500, 0.278, 0.278)
Ge (0.000, 0.729, 0.729)
Au (0.500, 0.560, 0.560)

volume: 99.5 Å³/f.u.
uncorrected energy: -20.6 eV/cell
calculated density: 9.633 Mg/m³
size of the total moment: 0.000 μB per cell
energy above the most stable polymorph in this dataset: 0 meV per atom

Material: Dy2Ge3Pt4Au
Method: DFT, PBE-GGA
State: optimized geometry

Lattice parameters (Å, degrees): 4.042 4.042 11.641 90.00 90.00 90.00
Atoms (fractional coordinates):
Dy (0.000, 0.500, 0.248)
Dy (0.500, 0.000, 0.752)
Ge (0.000, 0.000, 0.000)
Ge (0.000, 0.500, 0.631)
Ge (0.500, 0.000, 0.369)
Pt (0.000, 0.000, 0.500)
Pt (0.000, 0.500, 0.837)
Pt (0.500, 0.000, 0.163)
Pt (0.500, 0.500, 0.500)
Au (0.500, 0.500, 0.000)

volume: 190.2 Å³/f.u.
uncorrected energy: -58.6 eV/cell
calculated density: 13.275 Mg/m³
size of the total moment: 0.000 μB per cell

Material: DyPu2Ge2Au2
Method: DFT, PBE-GGA
State: optimized geometry

Lattice parameters (Å, degrees): 8.936 8.936 8.936 29.45 29.45 29.45
Atoms (fractional coordinates):
Dy (0.000, 0.000, 0.000)
Pu (0.141, 0.141, 0.141)
Pu (0.859, 0.859, 0.859)
Ge (0.264, 0.264, 0.264)
Ge (0.736, 0.736, 0.736)
Au (0.413, 0.413, 0.413)
Au (0.587, 0.587, 0.587)

volume: 152.6 Å³/f.u.
uncorrected energy: -52.3 eV/cell
calculated density: 12.942 Mg/m³
size of the total moment: 11.205 μB per cell

> Among the records above, which one has the lowest volume?

PmDyGeAu

> What is the formula in the third record?

DyPu2Ge2Au2